No. 1
4
Lattice="-0.802 1.976 3.834 -4.120 0.986 1.141 -2.077 -3.313 3.777" Properties=species:S:1:pos:R:3 comment="LaCrCu2 PBE optimized geometry" ef_ev_per_atom=0.0998 m_tot_mub_per_atom=0.86 space_group="R-3m (166)" vol_a3_per_atom=20.06 pbc="T T T"
Cu -2.012 -2.665 3.459
Cr -5.249 -0.263 6.565
La -1.750 -0.088 2.188
Cu -3.564 -0.823 4.695

---

No. 2
4
Lattice="6.228 0.001 0.044 5.149 3.504 0.044 1.926 0.593 4.511" Properties=species:S:1:pos:R:3 comment="La2CrCu PBE optimized geometry" ef_ev_per_atom=0.2052 m_tot_mub_per_atom=0.81 space_group="Cm (8)" vol_a3_per_atom=24.52 pbc="T T T"
Cr 7.093 2.185 2.096
La 11.135 3.430 0.203
La 10.142 3.124 3.370
Cu 2.961 0.912 1.318

---

No. 3
4
Lattice="5.845 -0.004 0.000 2.483 5.292 0.000 -4.164 -2.644 3.137" Properties=species:S:1:pos:R:3 comment="La2CrCu PBE optimized geometry" ef_ev_per_atom=0.3162 m_tot_mub_per_atom=0.84 space_group="I-4m2 (119)" vol_a3_per_atom=24.26 pbc="T T T"
La 0.000 0.000 0.000
Cu 2.923 -0.002 1.568
Cr 4.164 2.644 0.000
La 1.242 2.646 1.568

---

No. 4
3
Lattice="4.837 0.000 0.000 2.419 4.189 0.000 2.419 1.396 3.950" Properties=species:S:1:pos:R:3 comment="LaCrCu PBE optimized geometry" ef_ev_per_atom=0.9386 m_tot_mub_per_atom=1.38 space_group="F-43m (216)" vol_a3_per_atom=26.68 pbc="T T T"
Cu 4.837 2.793 1.975
La 7.256 4.189 2.962
Cr 0.000 0.000 0.000

---

No. 5
4
Lattice="-4.160 -1.875 0.333 1.827 -3.703 1.974 1.394 -2.159 5.255" Properties=species:S:1:pos:R:3 comment="LaCrCu2 PBE optimized geometry" ef_ev_per_atom=0.3257 m_tot_mub_per_atom=0.86 space_group="P2/m (10)" vol_a3_per_atom=19.12 pbc="T T T"
Cr 0.697 -1.079 2.628
La -0.469 -3.869 3.781
Cu -1.166 -2.789 1.153
Cu 0.000 0.000 0.000

---

No. 6
4
Lattice="-3.977 2.030 1.758 -2.116 3.589 -2.382 -4.220 -0.719 -2.168" Properties=species:S:1:pos:R:3 comment="LaCrCu2 PBE optimized geometry" ef_ev_per_atom=0.2142 m_tot_mub_per_atom=1.05 space_group="Fm-3m (225)" vol_a3_per_atom=19.54 pbc="T T T"
Cu -7.736 3.675 -2.094
Cu -2.579 1.225 -0.698
La -5.157 2.450 -1.396
Cr 0.000 0.000 0.000

---

No. 7
4
Lattice="-1.301 3.470 -0.126 -3.200 -1.146 1.472 -0.535 0.098 8.232" Properties=species:S:1:pos:R:3 comment="La2CrCu PBE optimized geometry" ef_ev_per_atom=0.1756 m_tot_mub_per_atom=0.83 space_group="P4/mmm (123)" vol_a3_per_atom=25.31 pbc="T T T"
Cr -1.584 1.473 2.363
Cu -3.452 0.949 7.215
La -3.152 2.953 4.766
La -0.551 0.090 8.192

---

No. 8
3
Lattice="-2.619 1.307 -3.413 1.051 -4.344 0.491 -3.085 -0.501 2.175" Properties=species:S:1:pos:R:3 comment="LaCrCu PBE optimized geometry" ef_ev_per_atom=0.2581 m_tot_mub_per_atom=1.24 space_group="P-6m2 (187)" vol_a3_per_atom=22.22 pbc="T T T"
La -2.228 -2.794 0.640
Cu -1.910 -0.660 -1.749
Cr -0.514 -0.083 0.362

---

Q: Number 4 is which compound?
A: LaCrCu